1.
A plane-wave DFT calculation with PBE-GGA was carried out for a relaxed PmNd3Th2 crystal.

Summary:
symmetry	Cmmm (65)
energy above the most stable polymorph in this dataset	0	meV/atom
calculated total energy	-5.58	eV/atom
energy of formation from the pure elements	0.069	eV/atom

a = 5.123 Å, b = 5.181 Å, c = 8.104 Å
α = 90.00°, β = 108.43°, γ = 90.00°
Fractional coordinates of all 6 atoms:
Pm: 0.000 0.000 0.000
Nd: 0.331 0.000 0.661
Nd: 0.669 0.000 0.339
Nd: 0.500 0.500 0.000
Th: 0.169 0.500 0.338
Th: 0.831 0.500 0.662


2.
A plane-wave DFT calculation with PBE-GGA was carried out for a relaxed Pm5Nd2Th2 crystal.

Summary:
symmetry	P-1 (2)
calculated total energy	-5.29	eV/atom
energy of formation from the pure elements	0.053	eV/atom

a = 6.313 Å, b = 9.614 Å, c = 9.632 Å
α = 141.79°, β = 109.17°, γ = 89.96°
Fractional coordinates of all 9 atoms:
Pm: 0.444 0.885 0.222
Pm: 0.556 0.115 0.778
Pm: 0.114 0.223 0.560
Pm: 0.886 0.777 0.440
Pm: 0.000 0.000 0.000
Nd: 0.337 0.663 0.663
Nd: 0.663 0.337 0.337
Th: 0.214 0.446 0.109
Th: 0.786 0.554 0.891